# 1
# Ho2TmPuP4 (PBE, relaxed)
# * energy relative to the elements: -1.487 eV per atom
# * space-group type: P2/m (10)
data_Ho2TmPuP4
_chemical_formula_sum 'Ho2 Tm1 Pu1 P4'
_space_group_name_H-M_alt 'P 1'
_space_group_IT_number 1
_cell_length_a 3.985
_cell_length_b 6.875
_cell_length_c 6.880
_cell_angle_alpha 109.50
_cell_angle_beta 90.00
_cell_angle_gamma 90.00
loop_
_space_group_symop_operation_xyz
'x,y,z'
loop_
_atom_site_label
_atom_site_type_symbol
_atom_site_fract_x
_atom_site_fract_y
_atom_site_fract_z
Ho1 Ho 0.500 0.000 0.500
Ho2 Ho 0.000 0.500 0.500
Tm1 Tm 0.500 0.500 0.000
Pu1 Pu 0.000 0.000 0.000
P1 P 0.500 0.248 0.247
P2 P 0.500 0.752 0.753
P3 P 0.000 0.251 0.753
P4 P 0.000 0.749 0.247



# 2
# TiCoH (PBE, relaxed)
# * space-group type: Pmmn (59)
# * ΔE to the lowest computed polymorph: 12.3 kJ per mole of atoms
data_TiCoH
_chemical_formula_sum 'Ti2 Co2 H2'
_space_group_name_H-M_alt 'P 1'
_space_group_IT_number 1
_cell_length_a 2.931
_cell_length_b 3.442
_cell_length_c 5.668
_cell_angle_alpha 90.00
_cell_angle_beta 90.00
_cell_angle_gamma 90.00
loop_
_space_group_symop_operation_xyz
'x,y,z'
loop_
_atom_site_label
_atom_site_type_symbol
_atom_site_fract_x
_atom_site_fract_y
_atom_site_fract_z
Ti1 Ti 0.814 0.866 0.570
Ti2 Ti 0.313 0.366 0.270
Co1 Co 0.813 0.866 0.063
Co2 Co 0.314 0.366 0.777
H1 H 0.814 0.366 0.001
H2 H 0.314 0.867 0.838



# 3
# ScAlP (PBE, relaxed)
# * energy relative to the elements: -0.736 eV per atom
# * space-group type: Cm (8)
data_ScAlP
_chemical_formula_sum 'Sc4 Al4 P4'
_space_group_name_H-M_alt 'P 1'
_space_group_IT_number 1
_cell_length_a 7.290
_cell_length_b 3.519
_cell_length_c 10.781
_cell_angle_alpha 90.00
_cell_angle_beta 129.46
_cell_angle_gamma 90.00
loop_
_space_group_symop_operation_xyz
'x,y,z'
loop_
_atom_site_label
_atom_site_type_symbol
_atom_site_fract_x
_atom_site_fract_y
_atom_site_fract_z
Sc1 Sc 0.051 0.000 0.136
Sc2 Sc 0.051 0.500 0.636
Sc3 Sc 0.656 0.000 0.245
Sc4 Sc 0.656 0.500 0.745
P1 P 0.402 0.000 0.762
P2 P 0.402 0.500 0.262
P3 P 0.971 0.000 0.800
P4 P 0.971 0.500 0.300
Al1 Al 0.611 0.000 0.493
Al2 Al 0.611 0.500 0.993
Al3 Al 0.236 0.000 0.486
Al4 Al 0.236 0.500 0.986



# 4
# LiTlAs2 (PBE, relaxed)
# * energy relative to the elements: -0.037 eV per atom
# * space-group type: P4/mmm (123)
data_LiTlAs2
_chemical_formula_sum 'Li1 Tl1 As2'
_space_group_name_H-M_alt 'P 1'
_space_group_IT_number 1
_cell_length_a 4.198
_cell_length_b 4.198
_cell_length_c 4.796
_cell_angle_alpha 90.00
_cell_angle_beta 90.00
_cell_angle_gamma 90.00
loop_
_space_group_symop_operation_xyz
'x,y,z'
loop_
_atom_site_label
_atom_site_type_symbol
_atom_site_fract_x
_atom_site_fract_y
_atom_site_fract_z
As1 As 0.000 0.000 0.000
As2 As 0.500 0.500 0.000
Li1 Li 0.500 0.000 0.500
Tl1 Tl 0.000 0.500 0.500



# 5
# YPd3Au2 (PBE, relaxed)
# * energy relative to the elements: -0.511 eV per atom
# * space-group type: C2/m (12)
# * ΔE to the lowest computed polymorph: 9.7 kJ per mole of atoms
data_YPd3Au2
_chemical_formula_sum 'Y2 Pd6 Au4'
_space_group_name_H-M_alt 'P 1'
_space_group_IT_number 1
_cell_length_a 4.121
_cell_length_b 8.288
_cell_length_c 7.887
_cell_angle_alpha 122.44
_cell_angle_beta 105.14
_cell_angle_gamma 90.00
loop_
_space_group_symop_operation_xyz
'x,y,z'
loop_
_atom_site_label
_atom_site_type_symbol
_atom_site_fract_x
_atom_site_fract_y
_atom_site_fract_z
Y1 Y 0.405 0.055 0.811
Y2 Y 0.595 0.945 0.189
Pd1 Pd 0.252 0.138 0.504
Pd2 Pd 0.085 0.698 0.169
Pd3 Pd 0.419 0.542 0.839
Pd4 Pd 0.748 0.862 0.496
Pd5 Pd 0.581 0.458 0.161
Pd6 Pd 0.915 0.302 0.831
Au1 Au 0.246 0.620 0.492
Au2 Au 0.754 0.380 0.508
Au3 Au 0.919 0.786 0.837
Au4 Au 0.081 0.214 0.163



# 6
# Li2Cd2In2Sn (PBE, relaxed)
# * energy relative to the elements: -0.138 eV per atom
# * space-group type: R-3m (166)
data_Li2Cd2In2Sn
_chemical_formula_sum 'Li2 Cd2 In2 Sn1'
_space_group_name_H-M_alt 'P 1'
_space_group_IT_number 1
_cell_length_a 4.803
_cell_length_b 4.803
_cell_length_c 8.414
_cell_angle_alpha 73.42
_cell_angle_beta 73.42
_cell_angle_gamma 60.00
loop_
_space_group_symop_operation_xyz
'x,y,z'
loop_
_atom_site_label
_atom_site_type_symbol
_atom_site_fract_x
_atom_site_fract_y
_atom_site_fract_z
Li1 Li 0.720 0.720 0.840
Li2 Li 0.280 0.280 0.160
Cd1 Cd 0.590 0.590 0.230
Cd2 Cd 0.410 0.410 0.770
In1 In 0.137 0.137 0.590
In2 In 0.863 0.863 0.410
Sn1 Sn 0.000 0.000 0.000



# 7
# TePNCl2 (PBE, relaxed)
# * space-group type: P4/mmm (123)
# * energy relative to the elements, uncorrected: 1.05 eV/atom
# * ΔE to the lowest computed polymorph: 0.0 kJ per mole of atoms
data_TePNCl2
_chemical_formula_sum 'Te1 P1 N1 Cl2'
_space_group_name_H-M_alt 'P 1'
_space_group_IT_number 1
_cell_length_a 4.306
_cell_length_b 4.306
_cell_length_c 4.775
_cell_angle_alpha 90.00
_cell_angle_beta 90.00
_cell_angle_gamma 90.00
loop_
_space_group_symop_operation_xyz
'x,y,z'
loop_
_atom_site_label
_atom_site_type_symbol
_atom_site_fract_x
_atom_site_fract_y
_atom_site_fract_z
P1 P 0.000 0.000 0.500
N1 N 0.000 0.000 0.000
Te1 Te 0.500 0.500 0.500
Cl1 Cl 0.000 0.500 0.000
Cl2 Cl 0.500 0.000 0.000



# 8
# Rb2UTl3Se6 (PBE, relaxed)
# * space-group type: C2/m (12)
# * energy relative to the elements, uncorrected: -0.81 eV/atom
data_Rb2UTl3Se6
_chemical_formula_sum 'Rb2 U1 Tl3 Se6'
_space_group_name_H-M_alt 'P 1'
_space_group_IT_number 1
_cell_length_a 8.489
_cell_length_b 8.489
_cell_length_c 7.551
_cell_angle_alpha 101.02
_cell_angle_beta 101.02
_cell_angle_gamma 122.79
loop_
_space_group_symop_operation_xyz
'x,y,z'
loop_
_atom_site_label
_atom_site_type_symbol
_atom_site_fract_x
_atom_site_fract_y
_atom_site_fract_z
Rb1 Rb 0.327 0.673 0.000
Rb2 Rb 0.673 0.327 0.000
U1 U 0.000 0.000 0.000
Tl1 Tl 0.144 0.856 0.500
Tl2 Tl 0.856 0.144 0.500
Tl3 Tl 0.500 0.500 0.500
Se1 Se 0.915 0.655 0.771
Se2 Se 0.795 0.795 0.214
Se3 Se 0.085 0.345 0.229
Se4 Se 0.655 0.915 0.771
Se5 Se 0.205 0.205 0.786
Se6 Se 0.345 0.085 0.229



# 9
# Ba4TaSe (PBE, relaxed)
# * space-group type: F-43m (216)
# * energy relative to the elements, uncorrected: 0.86 eV/atom
data_Ba4TaSe
_chemical_formula_sum 'Ba4 Ta1 Se1'
_space_group_name_H-M_alt 'P 1'
_space_group_IT_number 1
_cell_length_a 7.054
_cell_length_b 7.054
_cell_length_c 7.054
_cell_angle_alpha 60.00
_cell_angle_beta 60.00
_cell_angle_gamma 60.00
loop_
_space_group_symop_operation_xyz
'x,y,z'
loop_
_atom_site_label
_atom_site_type_symbol
_atom_site_fract_x
_atom_site_fract_y
_atom_site_fract_z
Ba1 Ba 0.874 0.375 0.375
Ba2 Ba 0.375 0.375 0.874
Ba3 Ba 0.375 0.874 0.375
Ba4 Ba 0.375 0.375 0.375
Ta1 Ta 0.000 0.000 0.000
Se1 Se 0.750 0.750 0.750



# 10
# Pm2NbOs3 (PBE, relaxed)
# * energy relative to the elements: -0.155 eV per atom
# * space-group type: C2/m (12)
data_Pm2NbOs3
_chemical_formula_sum 'Pm2 Nb1 Os3'
_space_group_name_H-M_alt 'P 1'
_space_group_IT_number 1
_cell_length_a 5.659
_cell_length_b 5.659
_cell_length_c 5.363
_cell_angle_alpha 90.12
_cell_angle_beta 121.79
_cell_angle_gamma 119.92
loop_
_space_group_symop_operation_xyz
'x,y,z'
loop_
_atom_site_label
_atom_site_type_symbol
_atom_site_fract_x
_atom_site_fract_y
_atom_site_fract_z
Pm1 Pm 0.752 0.376 0.129
Pm2 Pm 0.248 0.624 0.871
Nb1 Nb 0.000 0.000 0.000
Os1 Os 0.500 0.500 0.500
Os2 Os 0.000 0.000 0.500
Os3 Os 0.500 0.000 0.500



# 11
# Sm3Dy5Th2 (PBE, relaxed)
# * energy relative to the elements: 0.211 eV per atom
# * space-group type: C2/c (15)
data_Sm3Dy5Th2
_chemical_formula_sum 'Sm6 Dy10 Th4'
_space_group_name_H-M_alt 'P 1'
_space_group_IT_number 1
_cell_length_a 8.954
_cell_length_b 8.944
_cell_length_c 11.201
_cell_angle_alpha 120.59
_cell_angle_beta 120.61
_cell_angle_gamma 74.08
loop_
_space_group_symop_operation_xyz
'x,y,z'
loop_
_atom_site_label
_atom_site_type_symbol
_atom_site_fract_x
_atom_site_fract_y
_atom_site_fract_z
Sm1 Sm 0.221 0.971 0.943
Sm2 Sm 0.779 0.029 0.057
Sm3 Sm 0.732 0.483 0.253
Sm4 Sm 0.268 0.517 0.747
Sm5 Sm 0.021 0.770 0.253
Sm6 Sm 0.979 0.230 0.747
Dy1 Dy 0.279 0.529 0.059
Dy2 Dy 0.721 0.471 0.941
Dy3 Dy 0.031 0.781 0.562
Dy4 Dy 0.532 0.282 0.565
Dy5 Dy 0.969 0.219 0.438
Dy6 Dy 0.468 0.718 0.435
Dy7 Dy 0.869 0.616 0.735
Dy8 Dy 0.131 0.384 0.265
Dy9 Dy 0.367 0.120 0.735
Dy10 Dy 0.633 0.880 0.265
Th1 Th 0.759 0.010 0.745
Th2 Th 0.241 0.990 0.255
Th3 Th 0.486 0.735 0.745
Th4 Th 0.514 0.265 0.255



# 12
# BeSiC2 (PBE, relaxed)
# * space-group type: Fm-3m (225)
# * energy relative to the elements, uncorrected: 1.75 eV/atom
# * ΔE to the lowest computed polymorph: 108.9 kJ per mole of atoms
data_BeSiC2
_chemical_formula_sum 'Be1 Si1 C2'
_space_group_name_H-M_alt 'P 1'
_space_group_IT_number 1
_cell_length_a 3.590
_cell_length_b 3.590
_cell_length_c 3.590
_cell_angle_alpha 60.00
_cell_angle_beta 60.00
_cell_angle_gamma 60.00
loop_
_space_group_symop_operation_xyz
'x,y,z'
loop_
_atom_site_label
_atom_site_type_symbol
_atom_site_fract_x
_atom_site_fract_y
_atom_site_fract_z
Be1 Be 0.000 0.000 0.000
Si1 Si 0.500 0.500 0.500
C1 C 0.250 0.250 0.250
C2 C 0.750 0.750 0.750